# K2CrGeO4 | the Alexandria database | GGA+U | optimized geometry
data_K2CrGeO4
_cell_length_a 6.036
_cell_length_b 6.036
_cell_length_c 7.014
_cell_angle_alpha 90.00
_cell_angle_beta 90.00
_cell_angle_gamma 90.00
_space_group_name_H-M_alt 'I -4'
_space_group_IT_number 82
loop_
_space_group_symop_operation_xyz
'x,y,z'
'y,-x,-z'
'-x,-y,z'
'-y,x,-z'
'x+1/2,y+1/2,z+1/2'
'y+1/2,-x+1/2,-z+1/2'
'-x+1/2,-y+1/2,z+1/2'
'-y+1/2,x+1/2,-z+1/2'
loop_
_atom_site_label
_atom_site_type_symbol
_atom_site_fract_x
_atom_site_fract_y
_atom_site_fract_z
K1 K 0.000 0.000 0.000
K2 K 0.000 0.500 0.250
Cr1 Cr 0.000 0.500 0.750
Ge1 Ge 0.000 0.000 0.500
O1 O 0.129 0.792 0.645
# electronic total energy: -5.969 eV per atom